Entry P
# BeAuBr

Crystalline BeAuBr at its relaxed geometry (PBE, the Alexandria database).

Lattice parameters (Å, degrees): 4.4873 4.4873 4.4873 60.00 60.00 60.00
Positions (direct):
1 Au 0.2500 0.2500 0.2500
2 Br 0.5000 0.5000 0.5000
3 Be 0.0000 0.0000 0.0000

## Properties
Space-group type: F-43m
D(E_F), states/eV/atom: 0.07

***

Entry Q
# BeAuBr

Crystalline BeAuBr at its relaxed geometry (PBE, the Alexandria database).

Lattice parameters (Å, degrees): 6.8345 6.8345 6.8345 153.95 153.95 37.17
Positions (direct):
1 Be 0.6610 0.6610 0.0000
2 Au 0.0566 0.0566 0.0000
3 Br 0.2824 0.2824 0.0000

## Properties
Space-group type: I4mm
D(E_F), states/eV/atom: 0.30

***

Entry R
# BeAuBr

Crystalline BeAuBr at its relaxed geometry (PBE, the Alexandria database).

Lattice parameters (Å, degrees): 4.3620 4.3620 4.3620 60.00 60.00 60.00
Positions (direct):
1 Be 0.2500 0.2500 0.2500
2 Au 0.5000 0.5000 0.5000
3 Br 0.0000 0.0000 0.0000

## Properties
Space-group type: F-43m

***

List of relative energies, unit meV per atom: entry P 457; entry Q 0; entry R 224

***

Entry P
# BeAuBr

Crystalline BeAuBr at its relaxed geometry (PBE, the Alexandria database).

Lattice parameters (Å, degrees): 7.5058 6.7380 3.9904 84.68 63.36 31.96
Positions (direct):
1 Br 0.2882 0.2882 0.7118
2 Au 0.0425 0.0425 0.9575
3 Be 0.6694 0.6694 0.3306

## Properties
Space-group type: Fmm2
D(E_F), states/eV/atom: 0.08

***

Entry Q
# BeAuBr

Crystalline BeAuBr at its relaxed geometry (PBE, the Alexandria database).

Lattice parameters (Å, degrees): 3.3651 3.3651 6.2138 90.00 90.00 120.00
Positions (direct):
1 Au 0.0000 0.0000 0.1021
2 Be 0.3333 0.6667 0.3364
3 Br 0.6667 0.3333 0.5615

## Properties
Space-group type: P3m1
D(E_F), states/eV/atom: 0.01

***

List of relative energies, unit meV per atom: entry P 123; entry Q 0

***

Entry P
# Be3AuBr

Crystalline Be3AuBr at its relaxed geometry (PBE, the Alexandria database).

Lattice parameters (Å, degrees): 4.3472 4.3472 4.3472 90.00 90.00 90.00
Positions (direct):
1 Be 0.5000 0.0000 0.0000
2 Be 0.0000 0.0000 0.5000
3 Au 0.5000 0.5000 0.5000
4 Be 0.0000 0.5000 0.0000
5 Br 0.0000 0.0000 0.0000

## Properties
Space-group type: Pm-3m
D(E_F), states/eV/atom: 0.19

***

Entry Q
# Be3AuBr

Crystalline Be3AuBr at its relaxed geometry (PBE, the Alexandria database).

Lattice parameters (Å, degrees): 4.5214 4.5214 4.5214 90.00 90.00 90.00
Positions (direct):
1 Be 0.0000 0.5000 0.0000
2 Be 0.0000 0.0000 0.5000
3 Au 0.0000 0.0000 0.0000
4 Br 0.5000 0.5000 0.5000
5 Be 0.5000 0.0000 0.0000

## Properties
Space-group type: Pm-3m
D(E_F), states/eV/atom: 0.68

***

List of relative energies, unit meV per atom: entry P 777; entry Q 0

***

Entry P
# BeAuSe2Br

Crystalline BeAuSe2Br at its relaxed geometry (PBE, the Alexandria database).

Lattice parameters (Å, degrees): 4.7028 4.7028 4.6545 90.00 90.00 90.00
Positions (direct):
1 Au 0.5000 0.5000 0.5000
2 Be 0.0000 0.0000 0.0000
3 Br 0.0000 0.0000 0.5000
4 Se 0.0000 0.5000 0.0000
5 Se 0.5000 0.0000 0.0000

## Properties
Space-group type: P4/mmm
D(E_F), states/eV/atom: 1.09

***

Entry Q
# BeAuSe2Br

Crystalline BeAuSe2Br at its relaxed geometry (PBE, the Alexandria database).

Lattice parameters (Å, degrees): 5.1235 5.1235 5.1630 90.00 90.00 90.00
Positions (direct):
1 Br 0.0000 0.0000 0.5000
2 Se 0.5000 0.0000 0.0000
3 Be 0.5000 0.5000 0.5000
4 Se 0.0000 0.5000 0.0000
5 Au 0.0000 0.0000 0.0000

## Properties
Space-group type: P4/mmm
D(E_F), states/eV/atom: 0.70

***

List of relative energies, unit meV per atom: entry P 0; entry Q 502

***

Entry P
# BeAuSeBr2

Crystalline BeAuSeBr2 at its relaxed geometry (PBE, the Alexandria database).

Lattice parameters (Å, degrees): 5.1577 5.1577 5.3115 90.00 90.00 90.00
Positions (direct):
1 Se 0.0000 0.0000 0.5000
2 Br 0.5000 0.0000 0.0000
3 Br 0.0000 0.5000 0.0000
4 Be 0.5000 0.5000 0.5000
5 Au 0.0000 0.0000 0.0000

## Properties
Space-group type: P4/mmm
D(E_F), states/eV/atom: 0.67

***

Entry Q
# BeAuSeBr2

Crystalline BeAuSeBr2 at its relaxed geometry (PBE, the Alexandria database).

Lattice parameters (Å, degrees): 4.3783 4.3783 6.1903 90.00 90.00 90.00
Positions (direct):
1 Se 0.0000 0.0000 0.5000
2 Be 0.0000 0.0000 0.0000
3 Br 0.0000 0.5000 0.0000
4 Br 0.5000 0.0000 0.0000
5 Au 0.5000 0.5000 0.5000

## Properties
Space-group type: P4/mmm
D(E_F), states/eV/atom: 0.69

***

List of relative energies, unit meV per atom: entry P 521; entry Q 0

***

Entry P
# CaBeAu3

Crystalline CaBeAu3 at its relaxed geometry (PBE, the Alexandria database).

Lattice parameters (Å, degrees): 5.3281 6.3659 6.3656 120.00 90.00 90.00
Positions (direct):
1 Au 0.7500 0.6373 0.8187
2 Au 0.2500 0.3627 0.1813
3 Ca 0.7500 0.6667 0.3334
4 Ca 0.2500 0.3333 0.6666
5 Be 0.5000 0.0000 0.0000
6 Be 0.0000 0.0000 0.0000
7 Au 0.2500 0.8186 0.1813
8 Au 0.7500 0.1814 0.8187
9 Au 0.2500 0.8186 0.6373
10 Au 0.7500 0.1814 0.3627

## Properties
Space-group type: P6_3/mmc
D(E_F), states/eV/atom: 0.46

***

Entry Q
# CaBeAu3

Crystalline CaBeAu3 at its relaxed geometry (PBE, the Alexandria database).

Lattice parameters (Å, degrees): 4.3344 4.3333 5.9920 68.71 68.70 89.77
Positions (direct):
1 Ca 0.3964 0.1999 0.9121
2 Au 0.8169 0.6204 0.0711
3 Be 0.0351 0.8387 0.6352
4 Au 0.6295 0.9333 0.4464
5 Au 0.1298 0.4330 0.4464

## Properties
Space-group type: Fmm2
D(E_F), states/eV/atom: 0.34

***

List of relative energies, unit meV per atom: entry P 0; entry Q 21

***

Entry P
# CaBeAu3

Crystalline CaBeAu3 at its relaxed geometry (PBE, the Alexandria database).

Lattice parameters (Å, degrees): 4.6020 4.6020 4.6020 90.00 90.00 90.00
Positions (direct):
1 Ca 0.5000 0.5000 0.5000
2 Au 0.0000 0.5000 0.0000
3 Be 0.0000 0.0000 0.0000
4 Au 0.5000 0.0000 0.0000
5 Au 0.0000 0.0000 0.5000

## Properties
Space-group type: Pm-3m
D(E_F), states/eV/atom: 0.32

***

Entry Q
# CaBeAu3

Crystalline CaBeAu3 at its relaxed geometry (PBE, the Alexandria database).

Lattice parameters (Å, degrees): 5.4337 5.4337 5.4337 90.00 90.00 90.00
Positions (direct):
1 Au 0.0000 0.0000 0.5000
2 Be 0.5000 0.5000 0.5000
3 Ca 0.0000 0.0000 0.0000
4 Au 0.0000 0.5000 0.0000
5 Au 0.5000 0.0000 0.0000

## Properties
Space-group type: Pm-3m
D(E_F), states/eV/atom: 0.74

***

List of relative energies, unit meV per atom: entry P 0; entry Q 1468

***

Entry P
# CaBeAu

Crystalline CaBeAu at its relaxed geometry (PBE, the Alexandria database).

Lattice parameters (Å, degrees): 5.7738 5.7739 3.2790 73.50 73.51 32.99
Positions (direct):
1 Au 0.0428 0.0428 0.9572
2 Be 0.6241 0.6241 0.3759
3 Ca 0.3331 0.3331 0.6669

## Properties
Space-group type: I4mm
D(E_F), states/eV/atom: 0.58

***

Entry Q
# CaBeAu

Crystalline CaBeAu at its relaxed geometry (PBE, the Alexandria database).

Lattice parameters (Å, degrees): 4.4496 4.4496 4.4496 60.00 60.00 60.00
Positions (direct):
1 Be 0.7500 0.7500 0.7500
2 Ca 0.0000 0.0000 0.0000
3 Au 0.5000 0.5000 0.5000

## Properties
Space-group type: F-43m
D(E_F), states/eV/atom: 0.81

***

List of relative energies, unit meV per atom: entry P 0; entry Q 198